! In2Sb2Pd3 (GGA-PBE, relaxed); values from VASP
&SYSTEM
  ibrav = 0, nat = 14, ntyp = 3
/
ATOMIC_SPECIES
In 114.82 In.upf
Sb 121.76 Sb.upf
Pd 106.42 Pd.upf
ATOMIC_POSITIONS angstrom
In -0.338 1.061 2.507
In -1.917 2.397 5.632
In 5.901 4.520 0.617
In 4.322 5.855 3.742
Sb 0.492 4.415 4.495
Sb 2.071 5.960 1.371
Sb 1.913 0.957 4.878
Sb 3.492 2.502 1.753
Pd 0.000 0.000 0.000
Pd -1.579 3.458 3.124
Pd 1.050 3.526 1.948
Pd -0.528 6.849 5.072
Pd 4.512 0.068 1.176
Pd 2.934 3.390 4.301
CELL_PARAMETERS angstrom
7.141 0.000 0.000
0.000 6.917 0.000
-3.157 0.000 6.249
! Uncorrected formation energy: -370 meV per atom
! M_tot: 0.00 μB/atom
! VASP energy: -31.89 eV per formula unit
! DOS(E_F): 4.7 states/eV/cell


! InSb2Pd2 (GGA-PBE, relaxed); values from VASP
&SYSTEM
  ibrav = 0, nat = 5, ntyp = 3
/
ATOMIC_SPECIES
In 114.82 In.upf
Sb 121.76 Sb.upf
Pd 106.42 Pd.upf
ATOMIC_POSITIONS angstrom
In 0.000 0.000 0.000
Sb 0.000 0.000 4.331
Sb 0.000 0.000 7.372
Pd 2.273 0.000 2.926
Pd 0.000 2.273 2.926
CELL_PARAMETERS angstrom
-2.273 2.273 5.852
2.273 -2.273 5.852
2.273 2.273 -5.852
! Uncorrected formation energy: -207 meV per atom
! M_tot: 0.00 μB/atom
! VASP energy: -22.40 eV per formula unit
! DOS(E_F): 2.2 states/eV/cell